Entry from the Alexandria database: a relaxed structure of CeTa7O19 (GGA-PBE).

Cell: 6.3037 6.3037 20.2091 Å, 90.00 90.00 120.00°
Last column: nearest neighbours and their distance in Å.
Element x y z (fractional)
Ce 0.3333 0.6667 0.2500  8 O 2.45-2.73
Ce 0.6667 0.3333 0.7500  8 O 2.45-2.73
Ta 0.0031 0.3589 0.9054  6 O 1.93-2.09
Ta 0.0031 0.6442 0.5946  6 O 1.93-2.09
Ta 0.3333 0.6667 0.7500  6 O 2.01
Ta 0.3558 0.3589 0.5946  6 O 1.93-2.09
Ta 0.3558 0.9969 0.9054  6 O 1.93-2.09
Ta 0.3589 0.0031 0.0946  6 O 1.93-2.09
Ta 0.3589 0.3558 0.4054  6 O 1.93-2.09
Ta 0.6411 0.6442 0.9054  6 O 1.93-2.09
Ta 0.6411 0.9969 0.5946  6 O 1.93-2.09
Ta 0.6442 0.0031 0.4054  6 O 1.93-2.09
Ta 0.6442 0.6411 0.0946  6 O 1.93-2.09
Ta 0.6667 0.3333 0.2500  6 O 2.01
Ta 0.9969 0.3558 0.0946  6 O 1.93-2.09
Ta 0.9969 0.6411 0.4054  6 O 1.93-2.09
O 0.0000 0.3937 0.0000  2 Ta 1.93
O 0.0000 0.6063 0.5000  2 Ta 1.93
O 0.0027 0.2454 0.4032  2 Ta 1.99-2.00
O 0.0027 0.7573 0.0968  2 Ta 1.99-2.00
O 0.0494 0.4277 0.8059  2 Ta 2.01-2.05
O 0.0494 0.6217 0.6941  2 Ta 2.01-2.05
O 0.2427 0.2454 0.0968  2 Ta 1.99-2.00
O 0.2427 0.9973 0.4032  2 Ta 1.99-2.00
O 0.2454 0.0027 0.5968  2 Ta 1.99-2.00
O 0.2454 0.2427 0.9032  2 Ta 1.99-2.00
O 0.3333 0.6667 0.1147  3 Ta 2.09
O 0.3333 0.6667 0.3853  3 Ta 2.09
O 0.3333 0.6667 0.5903  3 Ta 2.02
O 0.3333 0.6667 0.9097  3 Ta 2.02
O 0.3783 0.4277 0.6941  2 Ta 2.01-2.05
O 0.3783 0.9506 0.8059  2 Ta 2.01-2.05
O 0.3937 0.0000 0.0000  2 Ta 1.93
O 0.3937 0.3937 0.5000  2 Ta 1.93
O 0.4277 0.0494 0.1941  2 Ta 2.01-2.05
O 0.4277 0.3783 0.3059  2 Ta 2.01-2.05
O 0.5723 0.6217 0.8059  2 Ta 2.01-2.05
O 0.5723 0.9506 0.6941  2 Ta 2.01-2.05
O 0.6063 0.0000 0.5000  2 Ta 1.93
O 0.6063 0.6063 0.0000  2 Ta 1.93
O 0.6217 0.0494 0.3059  2 Ta 2.01-2.05
O 0.6217 0.5723 0.1941  2 Ta 2.01-2.05
O 0.6667 0.3333 0.0903  3 Ta 2.02
O 0.6667 0.3333 0.4097  3 Ta 2.02
O 0.6667 0.3333 0.6147  3 Ta 2.09
O 0.6667 0.3333 0.8853  3 Ta 2.09
O 0.7546 0.7573 0.4032  2 Ta 1.99-2.00
O 0.7546 0.9973 0.0968  2 Ta 1.99-2.00
O 0.7573 0.0027 0.9032  2 Ta 1.99-2.00
O 0.7573 0.7546 0.5968  2 Ta 1.99-2.00
O 0.9506 0.3783 0.1941  2 Ta 2.01-2.05
O 0.9506 0.5723 0.3059  2 Ta 2.01-2.05
O 0.9973 0.2427 0.5968  2 Ta 1.99-2.00
O 0.9973 0.7546 0.9032  2 Ta 1.99-2.00

Computed properties:
polymorph energy (0 for the lowest one) = 0.226 eV per formula unit
final energy = -9.70 eV per atom
space group = No. 182
formation energy without anion corrections = -67.18 kcal/mol of atoms